# GGA+U Li2VBO4, relaxed
# Energy relative to the lowest polymorph listed for this composition ... 0 meV/atom
data_Li2VBO4
_chemical_formula_sum 'Li4 V2 B2 O8'
_symmetry_space_group_name_H-M 'P 1 c 1'
_symmetry_Int_Tables_number 7
_cell_length_a 4.749
_cell_length_b 5.188
_cell_length_c 7.845
_cell_angle_alpha 90.00
_cell_angle_beta 127.26
_cell_angle_gamma 90.00
loop_
_symmetry_equiv_pos_as_xyz
'x,y,z'
'x,-y,z+1/2'
loop_
_atom_site_label
_atom_site_fract_x
_atom_site_fract_y
_atom_site_fract_z
Li1 0.000 0.147 0.000
Li2 0.745 0.310 0.247
V1 0.260 0.324 0.758
B1 0.486 0.179 0.500
O1 0.175 0.192 0.503
O2 0.389 0.314 0.301
O3 0.577 0.096 0.995
O4 0.792 0.311 0.701

---

# GGA+U LiVBO3, relaxed
# Energy relative to the lowest polymorph listed for this composition ... 0 meV/atom
data_LiVBO3
_chemical_formula_sum 'Li3 V3 B3 O9'
_symmetry_space_group_name_H-M 'P -6'
_symmetry_Int_Tables_number 174
_cell_length_a 8.1690
_cell_length_b 8.1690
_cell_length_c 3.2267
_cell_angle_alpha 90.00
_cell_angle_beta 90.00
_cell_angle_gamma 120.00
loop_
_symmetry_equiv_pos_as_xyz
'x,y,z'
'-x+y,-x,-z'
'-y,x-y,z'
'x,y,-z'
'-x+y,-x,z'
'-y,x-y,-z'
loop_
_atom_site_label
_atom_site_fract_x
_atom_site_fract_y
_atom_site_fract_z
Li1 0.0315 0.2937 0.0000
V1 0.3962 0.3738 0.5000
B1 0.0000 0.0000 0.5000
B2 0.3333 0.6667 0.0000
B3 0.6667 0.3333 0.0000
O1 0.0985 0.1970 0.5000
O2 0.1380 0.5796 0.0000
O3 0.4698 0.2374 0.0000

---

# GGA+U Li2VBO4, relaxed
# Energy relative to the lowest polymorph listed for this composition ... 11 meV/atom
data_Li2VBO4
_chemical_formula_sum 'Li8 V4 B4 O16'
_symmetry_space_group_name_H-M 'C 2 2 21'
_symmetry_Int_Tables_number 20
_cell_length_a 6.968
_cell_length_b 7.334
_cell_length_c 6.206
_cell_angle_alpha 90.00
_cell_angle_beta 90.00
_cell_angle_gamma 90.00
loop_
_symmetry_equiv_pos_as_xyz
'x,y,z'
'-x,-y,z+1/2'
'x,-y,-z'
'-x,y,-z+1/2'
'x+1/2,y+1/2,z'
'-x+1/2,-y+1/2,z+1/2'
'x+1/2,-y+1/2,-z'
'-x+1/2,y+1/2,-z+1/2'
loop_
_atom_site_label
_atom_site_fract_x
_atom_site_fract_y
_atom_site_fract_z
Li1 0.000 0.196 0.250
Li2 0.173 0.500 0.500
V1 0.000 0.188 0.750
B1 0.182 0.500 0.000
O1 0.053 0.336 0.996
O2 0.198 0.001 0.700

---

# GGA+U Li3VBO5, relaxed
# VASP energy ... -6.61 eV/atom
data_Li3VBO5
_chemical_formula_sum 'Li12 V4 B4 O20'
_symmetry_space_group_name_H-M 'P n a 21'
_symmetry_Int_Tables_number 33
_cell_length_a 4.910
_cell_length_b 16.314
_cell_length_c 4.730
_cell_angle_alpha 90.00
_cell_angle_beta 90.00
_cell_angle_gamma 90.00
loop_
_symmetry_equiv_pos_as_xyz
'x,y,z'
'-x,-y,z+1/2'
'-x+1/2,y+1/2,z+1/2'
'x+1/2,-y+1/2,z'
loop_
_atom_site_label
_atom_site_fract_x
_atom_site_fract_y
_atom_site_fract_z
Li1 0.131 0.210 0.000
Li2 0.173 0.994 0.013
Li3 0.221 0.614 0.017
V1 0.148 0.398 0.017
B1 0.210 0.792 0.997
O1 0.086 0.227 0.592
O2 0.200 0.607 0.581
O3 0.208 0.373 0.624
O4 0.209 0.995 0.589
O5 0.211 0.801 0.687

---

# GGA+U Li3VB2O6, relaxed
# VASP energy ... -6.94 eV/atom
data_Li3VB2O6
_chemical_formula_sum 'Li6 V2 B4 O12'
_symmetry_space_group_name_H-M 'P -1'
_symmetry_Int_Tables_number 2
_cell_length_a 5.035
_cell_length_b 6.506
_cell_length_c 8.095
_cell_angle_alpha 73.11
_cell_angle_beta 89.60
_cell_angle_gamma 89.50
loop_
_symmetry_equiv_pos_as_xyz
'x,y,z'
'-x,-y,-z'
loop_
_atom_site_label
_atom_site_fract_x
_atom_site_fract_y
_atom_site_fract_z
Li1 0.172 0.257 0.385
Li2 0.180 0.958 0.737
Li3 0.321 0.091 0.074
V1 0.348 0.440 0.726
B1 0.164 0.682 0.088
B2 0.335 0.834 0.429
O1 0.114 0.319 0.915
O2 0.204 0.995 0.315
O3 0.220 0.723 0.589
O4 0.287 0.522 0.221
O5 0.305 0.835 0.972
O6 0.399 0.225 0.599

---

# GGA+U LiVBO3, relaxed
# Energy relative to the lowest polymorph listed for this composition ... 16 meV/atom
data_LiVBO3
_chemical_formula_sum 'Li2 V2 B2 O6'
_symmetry_space_group_name_H-M 'P -1'
_symmetry_Int_Tables_number 2
_cell_length_a 4.617
_cell_length_b 5.246
_cell_length_c 6.118
_cell_angle_alpha 96.35
_cell_angle_beta 108.47
_cell_angle_gamma 114.59
loop_
_symmetry_equiv_pos_as_xyz
'x,y,z'
'-x,-y,-z'
loop_
_atom_site_label
_atom_site_fract_x
_atom_site_fract_y
_atom_site_fract_z
Li1 0.061 0.127 0.339
V1 0.302 0.742 0.249
B1 0.290 0.597 0.742
O1 0.131 0.692 0.868
O2 0.217 0.305 0.707
O3 0.477 0.787 0.638